No. 1
Here is Ta2MnNi at its PBEsol-relaxed geometry from Alexandria via LeMat-Bulk. Energies are from meta-GGA SCAN.

Structure (POSCAR):
```
Ta2MnNi
1.0
2.891 0.000 0.000
0.000 4.459 0.047
-1.445 -1.042 4.393
Mn Ni Ta
1 1 2
Direct
0.488 0.506 0.975 Mn
0.759 0.237 0.517 Ni
0.013 0.043 0.025 Ta
0.241 0.714 0.482 Ta
```

Computed properties:
energy of formation: 0 kJ/mol of atoms
symmetry: Cm (8)
excess energy over the best structure of this formula in the dataset: 0.000 eV/atom

***

No. 2
Here is KYPt4 at its PBEsol-relaxed geometry from Alexandria via LeMat-Bulk. Energies are from meta-GGA SCAN.

Structure (POSCAR):
```
KYPt4
1.0
5.389 0.000 0.000
2.695 4.667 0.000
2.695 1.556 4.400
Y K Pt
1 1 4
Direct
0.750 0.750 0.750 Y
0.000 0.000 0.000 K
0.375 0.375 0.375 Pt
0.375 0.375 0.875 Pt
0.875 0.375 0.375 Pt
0.375 0.875 0.375 Pt
```

Computed properties:
energy of formation: -78 kJ/mol of atoms
symmetry: F-43m (216)

***

No. 3
Here is LiMn4Pb at its PBEsol-relaxed geometry from Alexandria via LeMat-Bulk. Energies are from meta-GGA SCAN.

Structure (POSCAR):
```
LiMn4Pb
1.0
4.772 0.000 0.000
2.386 4.132 0.000
2.386 1.377 3.896
Li Mn Pb
1 4 1
Direct
0.000 0.000 0.000 Li
0.626 0.626 0.123 Mn
0.123 0.626 0.626 Mn
0.626 0.123 0.626 Mn
0.626 0.626 0.626 Mn
0.250 0.250 0.250 Pb
```

Computed properties:
energy of formation: 55 kJ/mol of atoms
symmetry: F-43m (216)

***

No. 4
Here is TiCo3H at its PBEsol-relaxed geometry from Alexandria via LeMat-Bulk. Energies are from meta-GGA SCAN.

Structure (POSCAR):
```
TiCo3H
1.0
3.568 0.000 0.000
0.000 3.568 0.000
0.000 0.000 3.568
H Co Ti
1 3 1
Direct
0.000 0.000 0.000 H
0.000 0.500 0.000 Co
0.000 0.000 0.500 Co
0.500 0.000 0.000 Co
0.500 0.500 0.500 Ti
```

Computed properties:
symmetry: Pm-3m (221)
excess energy over the best structure of this formula in the dataset: 0.000 eV/atom

***

No. 5
Here is Rh2W at its PBEsol-relaxed geometry from Alexandria via LeMat-Bulk. Energies are from meta-GGA SCAN.

Structure (POSCAR):
```
Rh2W
1.0
-2.008 -1.275 -3.016
3.030 -2.065 -1.144
-4.216 -7.210 8.299
Rh W
8 4
Direct
0.749 0.749 0.497 Rh
0.251 0.251 0.503 Rh
0.999 0.499 0.997 Rh
0.501 0.001 0.003 Rh
0.583 0.583 0.167 Rh
0.417 0.417 0.833 Rh
0.833 0.333 0.667 Rh
0.667 0.167 0.333 Rh
0.917 0.917 0.834 W
0.083 0.083 0.166 W
0.167 0.667 0.334 W
0.333 0.833 0.666 W
```

Computed properties:
energy of formation: -19 kJ/mol of atoms
symmetry: I4_1/amd (141)

***

No. 6
Here is Sr3Ca5Mn8O23 at its PBEsol-relaxed geometry from Alexandria via LeMat-Bulk. Energies are from meta-GGA SCAN.

Structure (POSCAR):
```
Sr3Ca5Mn8O23
1.0
-5.327 -1.375 5.110
3.874 -6.006 2.423
3.617 4.326 4.940
Sr Ca Mn O
3 5 8 23
Direct
0.247 0.500 0.740 Sr
0.260 0.000 0.753 Sr
0.247 0.500 0.252 Sr
0.729 0.500 0.727 Ca
0.757 0.000 0.753 Ca
0.277 0.000 0.263 Ca
0.733 0.500 0.234 Ca
0.752 0.000 0.280 Ca
0.993 0.765 0.005 Mn
0.993 0.235 0.005 Mn
0.508 0.749 0.998 Mn
0.508 0.251 0.998 Mn
0.998 0.749 0.497 Mn
0.998 0.251 0.497 Mn
0.505 0.751 0.498 Mn
0.505 0.249 0.498 Mn
0.943 0.000 0.029 O
0.475 0.500 0.024 O
0.534 0.000 0.969 O
0.975 0.500 0.531 O
0.023 0.000 0.458 O
0.530 0.500 0.473 O
0.483 0.000 0.514 O
0.022 0.766 0.755 O
0.022 0.234 0.755 O
0.483 0.725 0.748 O
0.483 0.275 0.748 O
0.968 0.706 0.246 O
0.968 0.294 0.246 O
0.534 0.778 0.247 O
0.534 0.222 0.247 O
0.245 0.771 0.029 O
0.245 0.229 0.029 O
0.756 0.698 0.971 O
0.756 0.302 0.971 O
0.252 0.735 0.477 O
0.252 0.265 0.477 O
0.753 0.782 0.529 O
0.753 0.218 0.529 O
```

Computed properties:
symmetry: Pm (6)
VASP energy: -13.0442 eV/atom

***

No. 7
Here is Cs2SBrCl6 at its PBEsol-relaxed geometry from Alexandria via LeMat-Bulk. Energies are from meta-GGA SCAN.

Structure (POSCAR):
```
Cs2SBrCl6
1.0
7.413 0.000 0.000
3.706 6.420 0.000
3.706 2.140 6.052
Cs S Br Cl
2 1 1 6
Direct
0.250 0.250 0.250 Cs
0.750 0.750 0.750 Cs
0.000 0.000 0.000 S
0.500 0.500 0.500 Br
0.220 0.780 0.780 Cl
0.780 0.220 0.780 Cl
0.220 0.780 0.220 Cl
0.220 0.220 0.780 Cl
0.780 0.780 0.220 Cl
0.780 0.220 0.220 Cl
```

Computed properties:
symmetry: Fm-3m (225)
VASP energy: -16.1998 eV/atom

***

No. 8
Here is MnNbSbI2 at its PBEsol-relaxed geometry from Alexandria via LeMat-Bulk. Energies are from meta-GGA SCAN.

Structure (POSCAR):
```
MnNbSbI2
1.0
-3.199 -1.292 -3.773
2.461 -4.577 -0.519
-3.247 -2.141 3.486
I Sb Nb Mn
2 1 1 1
Direct
0.000 0.000 0.500 I
0.000 0.500 0.000 I
0.500 0.000 0.000 Sb
0.500 0.500 0.500 Nb
0.000 0.000 0.000 Mn
```

Computed properties:
symmetry: P4/mmm (123)
VASP energy: -31.6576 eV/atom